Model A:
# Tl3Ga8Sn3

A relaxed structure of Tl3Ga8Sn3 (PBE-GGA, Alexandria via LeMat-Bulk). Values from VASP.

Structure (Quantum ESPRESSO input):
```
&SYSTEM
  ibrav = 0, nat = 14, ntyp = 3
/
ATOMIC_SPECIES
Tl 204.38 Tl.upf
Ga 69.72 Ga.upf
Sn 118.71 Sn.upf
CELL_PARAMETERS angstrom
8.598 -2.179 0.000
8.598 2.179 0.000
-5.855 0.000 9.036
ATOMIC_POSITIONS crystal
Tl 0.000 0.000 0.000
Tl 0.313 0.313 0.326
Tl 0.687 0.687 0.674
Ga 0.128 0.128 0.850
Ga 0.172 0.172 0.451
Ga 0.356 0.356 0.714
Ga 0.487 0.487 0.280
Ga 0.513 0.513 0.720
Ga 0.644 0.644 0.286
Ga 0.828 0.828 0.549
Ga 0.872 0.872 0.150
Sn 0.000 0.000 0.500
Sn 0.321 0.321 0.944
Sn 0.679 0.679 0.056
```

Values from the calculation:
- calculated volume (Å³ per cell) = 338.5


Model B:
# Tl3Ga8Sn3

A relaxed structure of Tl3Ga8Sn3 (PBE-GGA, Alexandria via LeMat-Bulk). Values from VASP.

Structure (Quantum ESPRESSO input):
```
&SYSTEM
  ibrav = 0, nat = 14, ntyp = 3
/
ATOMIC_SPECIES
Tl 204.38 Tl.upf
Ga 69.72 Ga.upf
Sn 118.71 Sn.upf
CELL_PARAMETERS angstrom
-2.336 5.271 6.850
2.336 -5.271 6.850
2.336 5.271 -6.850
ATOMIC_POSITIONS crystal
Tl 0.000 0.000 0.000
Tl 0.302 0.302 0.000
Tl 0.698 0.698 0.000
Ga 0.043 0.665 0.378
Ga 0.107 0.842 0.265
Ga 0.288 0.665 0.622
Ga 0.423 0.158 0.265
Ga 0.577 0.842 0.735
Ga 0.712 0.335 0.378
Ga 0.893 0.158 0.735
Ga 0.957 0.335 0.622
Sn 0.289 0.500 0.789
Sn 0.500 0.000 0.500
Sn 0.711 0.500 0.211
```

Values from the calculation:
- calculated volume (Å³ per cell) = 337.3


We find model B to be the most stable, with the next structure 12 meV/atom higher.


Model A:
# TlGaSn

A relaxed structure of TlGaSn (PBE-GGA, Alexandria via LeMat-Bulk). Values from VASP.

Structure (Quantum ESPRESSO input):
```
&SYSTEM
  ibrav = 0, nat = 3, ntyp = 3
/
ATOMIC_SPECIES
Tl 204.38 Tl.upf
Ga 69.72 Ga.upf
Sn 118.71 Sn.upf
CELL_PARAMETERS angstrom
0.000 3.488 3.488
3.488 0.000 3.488
3.488 3.488 0.000
ATOMIC_POSITIONS crystal
Tl 0.000 0.000 0.000
Ga 0.250 0.250 0.250
Sn 0.500 0.500 0.500
```

Values from the calculation:
- calculated volume (Å³ per cell) = 84.9


Model B:
# TlGaSn

A relaxed structure of TlGaSn (PBE-GGA, Alexandria via LeMat-Bulk). Values from VASP.

Structure (Quantum ESPRESSO input):
```
&SYSTEM
  ibrav = 0, nat = 3, ntyp = 3
/
ATOMIC_SPECIES
Tl 204.38 Tl.upf
Ga 69.72 Ga.upf
Sn 118.71 Sn.upf
CELL_PARAMETERS angstrom
-1.847 1.847 5.771
1.847 -1.847 5.771
1.847 1.847 -5.771
ATOMIC_POSITIONS crystal
Tl 0.000 0.000 0.000
Ga 0.672 0.672 0.000
Sn 0.308 0.308 0.000
```

Values from the calculation:
- calculated volume (Å³ per cell) = 78.7


Model C:
# TlGaSn

A relaxed structure of TlGaSn (PBE-GGA, Alexandria via LeMat-Bulk). Values from VASP.

Structure (Quantum ESPRESSO input):
```
&SYSTEM
  ibrav = 0, nat = 6, ntyp = 3
/
ATOMIC_SPECIES
Tl 204.38 Tl.upf
Ga 69.72 Ga.upf
Sn 118.71 Sn.upf
CELL_PARAMETERS angstrom
3.436 0.000 0.000
0.000 5.117 0.000
-0.008 0.000 9.045
ATOMIC_POSITIONS crystal
Tl 0.250 0.250 0.109
Tl 0.750 0.750 0.891
Ga 0.250 0.750 0.553
Ga 0.750 0.250 0.447
Sn 0.250 0.250 0.719
Sn 0.750 0.750 0.281
```

Values from the calculation:
- calculated volume (Å³ per cell) = 159.0


Model D:
# TlGaSn

A relaxed structure of TlGaSn (PBE-GGA, Alexandria via LeMat-Bulk). Values from VASP.

Structure (Quantum ESPRESSO input):
```
&SYSTEM
  ibrav = 0, nat = 6, ntyp = 3
/
ATOMIC_SPECIES
Tl 204.38 Tl.upf
Ga 69.72 Ga.upf
Sn 118.71 Sn.upf
CELL_PARAMETERS angstrom
3.972 -2.264 0.000
3.972 2.264 0.000
-3.396 0.000 9.741
ATOMIC_POSITIONS crystal
Tl 0.116 0.116 0.389
Tl 0.884 0.884 0.611
Ga 0.340 0.340 0.897
Ga 0.660 0.660 0.103
Sn 0.360 0.360 0.193
Sn 0.640 0.640 0.807
```

Values from the calculation:
- calculated volume (Å³ per cell) = 175.2


We find model C to be the most stable, with the next structure 46 meV/atom higher.